# SrLa2Ce3Te6 | the Alexandria database | GGA-PBE | relaxed
data_SrLa2Ce3Te6
_chemical_formula_sum 'Sr2 La4 Ce6 Te12'
_cell_length_a 18.363
_cell_length_b 4.337
_cell_length_c 11.152
_cell_angle_alpha 90.00
_cell_angle_beta 108.07
_cell_angle_gamma 90.00
_symmetry_space_group_name_H-M 'C 1 2/m 1'
_symmetry_Int_Tables_number 12
loop_
_symmetry_equiv_pos_as_xyz
'x,y,z'
'-x,-y,-z'
'-x,y,-z'
'x,-y,z'
'x+1/2,y+1/2,z'
'-x+1/2,-y+1/2,-z'
'-x+1/2,y+1/2,-z'
'x+1/2,-y+1/2,z'
loop_
_atom_site_label
_atom_site_fract_x
_atom_site_fract_y
_atom_site_fract_z
_atom_site_occupancy
Sr1 0.000 0.000 0.000 1
La1 0.173 0.500 0.372 1
Ce1 0.000 0.500 0.500 1
Ce2 0.188 0.500 0.803 1
Te1 0.008 0.500 0.780 1
Te2 0.139 0.000 0.570 1
Te3 0.180 0.500 0.089 1
# E_form (uncorrected) = -1.29 eV/atom
# DOS(E_F) = 51.5 states/eV/cell
# E_tot = -127.5 eV for the cell shown
# Size of the total moment = 8.2 Bohr magnetons per cell